(1)
Density functional theory data (PBE) for crystalline BaLiLaHg at its relaxed geometry.

a = 5.7358 Å, b = 5.7358 Å, c = 5.7358 Å
α = 60.00°, β = 60.00°, γ = 60.00°
Fractional positions:
Li (0.2500, 0.2500, 0.2500)
Ba (0.0000, 0.0000, 0.0000)
La (0.5000, 0.5000, 0.5000)
Hg (0.7500, 0.7500, 0.7500)

Energy of formation = -14.4 kJ per mole of atoms
Space group = No. 216


(2)
Density functional theory data (PBE) for crystalline TlFeHg2Ge at its relaxed geometry.

a = 5.5380 Å, b = 5.1169 Å, c = 5.5380 Å
α = 90.00°, β = 90.00°, γ = 90.00°
Fractional positions:
Ge (0.5000, 0.5000, 0.5000)
Fe (0.0000, 0.5000, 0.0000)
Tl (0.0000, 0.0000, 0.0000)
Hg (0.5000, 0.0000, 0.0000)
Hg (0.0000, 0.0000, 0.5000)

Energy of formation = 108.7 kJ per mole of atoms
Space group = No. 123


(3)
Density functional theory data (PBE) for crystalline Ho2Sn2Hg at its relaxed geometry.

a = 4.4936 Å, b = 6.2241 Å, c = 10.3989 Å
α = 77.43°, β = 77.52°, γ = 68.84°
Fractional positions:
Hg (0.1984, 0.9183, 0.6850)
Ho (0.3214, 0.2509, 0.1063)
Sn (0.1413, 0.2791, 0.4383)
Ho (0.6786, 0.7491, 0.8937)
Hg (0.8016, 0.0817, 0.3150)
Ho (0.4919, 0.3380, 0.6782)
Sn (0.0556, 0.7856, 0.1032)
Sn (0.8587, 0.7209, 0.5617)
Sn (0.9444, 0.2144, 0.8968)
Ho (0.5081, 0.6620, 0.3218)

Energy of formation = -51.1 kJ per mole of atoms
Space group = No. 12


(4)
Density functional theory data (PBE) for crystalline KLiSi2 at its relaxed geometry.

a = 3.7786 Å, b = 4.3163 Å, c = 6.9315 Å
α = 72.22°, β = 90.00°, γ = 90.00°
Fractional positions:
K (0.0000, 0.4656, 0.4435)
Si (0.0000, 0.2131, 0.9662)
Li (0.5000, 0.7248, 0.9175)
Si (0.5000, 0.0965, 0.1728)

Formation energy (no corrections) = 0.0381 eV/atom
E above lowest polymorph = 25.1 meV per atom
Space group = No. 6


(5)
Density functional theory data (PBE) for crystalline Mg6Cd3In at its relaxed geometry.

a = 5.1301 Å, b = 8.4148 Å, c = 11.2390 Å
α = 114.13°, β = 90.00°, γ = 90.00°
Fractional positions:
Mg (0.2500, 0.0716, 0.8710)
Cd (0.7500, 0.6229, 0.2243)
Mg (0.2500, 0.2691, 0.4761)
Cd (0.7500, 0.4495, 0.6347)
Mg (0.7500, 0.5385, 0.9320)
Mg (0.2500, 0.1603, 0.1675)
Mg (0.7500, 0.1451, 0.7297)
Mg (0.7500, 0.9284, 0.1290)
Mg (0.7500, 0.7309, 0.5239)
Mg (0.7500, 0.3350, 0.3279)
In (0.7500, 0.0382, 0.4244)
Mg (0.2500, 0.6650, 0.6721)
Mg (0.2500, 0.4615, 0.0680)
Cd (0.2500, 0.7746, 0.9721)
Cd (0.7500, 0.2254, 0.0279)
In (0.2500, 0.9618, 0.5756)
Cd (0.2500, 0.5505, 0.3653)
Mg (0.7500, 0.8397, 0.8325)
Cd (0.2500, 0.3771, 0.7757)
Mg (0.2500, 0.8549, 0.2703)

E above lowest polymorph = 0.0 meV per atom
Energy of formation = -8.2 kJ per mole of atoms
Space group = No. 11


(6)
Density functional theory data (PBE) for crystalline Tl12Hg3P5 at its relaxed geometry.

a = 14.9137 Å, b = 14.9137 Å, c = 14.9137 Å
α = 109.47°, β = 109.47°, γ = 109.47°
Fractional positions:
Tl (0.0761, 0.9002, 0.1196)
Tl (0.4566, 0.6760, 0.0761)
Hg (0.1250, 0.8750, 0.7500)
Tl (0.4002, 0.2806, 0.3240)
P (0.1250, 0.3750, 0.2500)
Tl (0.1760, 0.0998, 0.7194)
Tl (0.6196, 0.5761, 0.9002)
Tl (0.2806, 0.8804, 0.9566)
P (0.6250, 0.8750, 0.2500)
Tl (0.6760, 0.4566, 0.5761)
Hg (0.2500, 0.6250, 0.8750)
Tl (0.4002, 0.1196, 0.5761)
Tl (0.6760, 0.2194, 0.5998)
Tl (0.4566, 0.7806, 0.8804)
Hg (0.1250, 0.2500, 0.8750)
Tl (0.3240, 0.5434, 0.4239)
Hg (0.3750, 0.7500, 0.6250)
Tl (0.4239, 0.0434, 0.3240)
Tl (0.9002, 0.0761, 0.6196)
Tl (0.9239, 0.8240, 0.5434)
P (0.8750, 0.6250, 0.7500)
Tl (0.7194, 0.5998, 0.1760)
Tl (0.3240, 0.7806, 0.4002)
Tl (0.7806, 0.4566, 0.3804)
Tl (0.4239, 0.3804, 0.5998)
Hg (0.7500, 0.3750, 0.1250)
Tl (0.2194, 0.5434, 0.6196)
Hg (0.6250, 0.3750, 0.7500)
Hg (0.8750, 0.1250, 0.2500)
P (0.0000, 0.5000, 0.5000)
Hg (0.3750, 0.6250, 0.2500)
Tl (0.0998, 0.1760, 0.2194)
Tl (0.1196, 0.4002, 0.0761)
Tl (0.2806, 0.4002, 0.8240)
Tl (0.1196, 0.7194, 0.5434)
Tl (0.5434, 0.2194, 0.1196)
Tl (0.7806, 0.3240, 0.9002)
Tl (0.0998, 0.9239, 0.3804)
Tl (0.9566, 0.5761, 0.1760)
Tl (0.5998, 0.7194, 0.6760)
Hg (0.7500, 0.8750, 0.6250)
Tl (0.2194, 0.6760, 0.0998)
Tl (0.5998, 0.8804, 0.4239)
P (0.3750, 0.2500, 0.1250)
Hg (0.8750, 0.7500, 0.1250)
Tl (0.3804, 0.4239, 0.0998)
P (0.5000, 0.0000, 0.0000)
Tl (0.9002, 0.8240, 0.7806)
Hg (0.2500, 0.1250, 0.3750)
Tl (0.1760, 0.0761, 0.9566)
P (0.6250, 0.7500, 0.8750)
P (0.3750, 0.1250, 0.7500)
P (0.0000, 0.5000, 0.0000)
Tl (0.9566, 0.3804, 0.2806)
P (0.5000, 0.0000, 0.5000)
P (0.0000, 0.0000, 0.5000)
P (0.2500, 0.8750, 0.1250)
Tl (0.5434, 0.3240, 0.9239)
P (0.7500, 0.1250, 0.8750)
P (0.8750, 0.2500, 0.6250)
Tl (0.8804, 0.2806, 0.4566)
Tl (0.5761, 0.6196, 0.4002)
Hg (0.6250, 0.2500, 0.3750)
Tl (0.8240, 0.9002, 0.2806)
P (0.5000, 0.5000, 0.5000)
Tl (0.8240, 0.9239, 0.0434)
Tl (0.8804, 0.5998, 0.9239)
Tl (0.6196, 0.0434, 0.2194)
Tl (0.3804, 0.9566, 0.7806)
Tl (0.5761, 0.9566, 0.6760)
Tl (0.7194, 0.1196, 0.0434)
Tl (0.0761, 0.1760, 0.4566)
P (0.2500, 0.3750, 0.6250)
Tl (0.9239, 0.0998, 0.8804)
P (0.7500, 0.6250, 0.3750)
P (0.5000, 0.5000, 0.0000)
Tl (0.0434, 0.6196, 0.7194)
P (0.1250, 0.7500, 0.3750)
P (0.0000, 0.0000, 0.0000)
Tl (0.0434, 0.4239, 0.8240)

Energy of formation = 18.7 kJ per mole of atoms
Space group = No. 230


no.,size of the total moment (μB per formula unit)
1,0.004
2,2.946
3,0.000
4,0.000
5,0.000
6,0.000